Entry from Alexandria via LeMat-Bulk: a relaxed structure of SrNi3P4O12 (PBE with a Hubbard U).

abc: 6.444 6.444 6.444
angles: 104.03 104.03 104.03
Fractional positions:
Sr (0.000, 0.000, 0.000)
Ni (0.000, 0.578, 0.422)
Ni (0.422, 0.000, 0.578)
Ni (0.578, 0.422, 0.000)
P (0.093, 0.500, 0.907)
P (0.500, 0.500, 0.500)
P (0.500, 0.907, 0.093)
P (0.907, 0.093, 0.500)
O (0.002, 0.633, 0.745)
O (0.064, 0.936, 0.500)
O (0.255, 0.367, 0.998)
O (0.352, 0.648, 0.500)
O (0.367, 0.998, 0.255)
O (0.500, 0.064, 0.936)
O (0.500, 0.352, 0.648)
O (0.633, 0.745, 0.002)
O (0.648, 0.500, 0.352)
O (0.745, 0.002, 0.633)
O (0.936, 0.500, 0.064)
O (0.998, 0.255, 0.367)

Properties
Space-group type: R32
Fermi-level density of states in states/eV per cell: 5.07
Calculated total energy in eV/f.u.: -120.74